BaCa2LaZn: relaxed, PBE-GGA.

Total moment in μB/f.u.: 0.0
V in A^3/atom: 41.9
ΔE_f in eV per atom: 0.03

Cell: 5.9690 5.9690 5.8768 Å, 90.00 90.00 90.00°
Closest atoms and distances in Å follow each position.
Space group P4/mmm (No. 123)
Symmetry-distinct sites (fractional):
Ba (0.0000, 0.0000, 0.0000) x1  8 Ca 4.19, 4 La 4.22
Ca (0.0000, 0.5000, 0.5000) x2  2 Zn 2.98
La (0.5000, 0.5000, 0.0000) x1  2 Zn 2.94
Zn (0.5000, 0.5000, 0.5000) x1  2 La 2.94, 4 Ca 2.98